# GGA-PBE Ho6Si2TeS3, optimized geometry
# SG = C2/m (12)
# Uncorrected energy = -0.43778 Ry/atom
data_Ho6Si2TeS3
_cell_length_a 4.046
_cell_length_b 8.145
_cell_length_c 9.020
_cell_angle_alpha 102.06
_cell_angle_beta 102.96
_cell_angle_gamma 90.00
_symmetry_space_group_name_H-M 'P 1'
_symmetry_Int_Tables_number 1
_symmetry_space_group_name_Hall 'P 1'
loop_
_atom_site_label
_atom_site_type_symbol
_atom_site_fract_x
_atom_site_fract_y
_atom_site_fract_z
Ho1 Ho 0.325 0.901 0.649
Ho2 Ho 0.668 0.582 0.336
Ho3 Ho 0.675 0.099 0.351
Ho4 Ho 0.005 0.278 0.009
Ho5 Ho 0.995 0.722 0.991
Ho6 Ho 0.332 0.418 0.664
Si1 Si 0.833 0.665 0.666
Si2 Si 0.167 0.335 0.334
Te1 Te 0.500 0.000 0.000
S1 S 0.500 0.500 0.000
S2 S 0.837 0.164 0.674
S3 S 0.163 0.836 0.326

# GGA-PBE Ho8SiTe4S3, optimized geometry
# SG = R-3m (166)
# Uncorrected energy = -0.41960 Ry/atom
data_Ho8SiTe4S3
_cell_length_a 8.160
_cell_length_b 8.427
_cell_length_c 8.160
_cell_angle_alpha 118.96
_cell_angle_beta 120.00
_cell_angle_gamma 90.00
_symmetry_space_group_name_H-M 'P 1'
_symmetry_Int_Tables_number 1
_symmetry_space_group_name_Hall 'P 1'
loop_
_atom_site_label
_atom_site_type_symbol
_atom_site_fract_x
_atom_site_fract_y
_atom_site_fract_z
Ho1 Ho 0.236 0.709 0.973
Ho2 Ho 0.236 0.708 0.471
Ho3 Ho 0.265 0.295 0.530
Ho4 Ho 0.737 0.709 0.973
Ho5 Ho 0.263 0.291 0.027
Ho6 Ho 0.735 0.705 0.470
Ho7 Ho 0.764 0.292 0.529
Ho8 Ho 0.764 0.291 0.027
Si1 Si 0.000 0.500 0.000
Te1 Te 0.500 0.000 0.000
Te2 Te 0.500 0.000 0.500
Te3 Te 0.000 0.000 0.000
Te4 Te 0.000 0.000 0.500
S1 S 0.500 0.500 0.000
S2 S 0.500 0.500 0.500
S3 S 0.000 0.500 0.500

Energy relative to the elements, uncorrected, record by record: -1.470; -1.522 eV/atom
D(E_F), record by record: 0.317; 0.308 states/eV per atom